Entry P
{"formula": "Ca3SiF", "functional": "PBE", "state": "relaxed", "lattice_angstrom": [[3.576, 0.000, 0.000], [0.000, 7.994, -0.259], [0.000, -2.065, 9.370]], "species": ["Si", "Ca", "Ca", "Ca", "F", "F", "Ca", "Ca", "Ca", "Si"], "frac_coords": [[0.250, 0.313, 0.293], [0.250, 0.724, 0.968], [0.250, 0.962, 0.670], [0.750, 0.619, 0.376], [0.250, 0.863, 0.414], [0.750, 0.137, 0.586], [0.750, 0.038, 0.330], [0.250, 0.381, 0.624], [0.750, 0.276, 0.032], [0.750, 0.687, 0.707]], "n_ef_per_ev_cell": 4.154, "space_group": "P2_1/m (11)", "rho_g_cm3": 2.1}

---

Entry Q
{"formula": "Ca3SiF", "functional": "PBE", "state": "relaxed", "lattice_angstrom": [[-4.174, 2.315, 0.528], [-0.744, -0.262, -4.737], [-2.255, -4.199, 0.586]], "species": ["F", "Ca", "Si", "Ca", "Ca"], "frac_coords": [[0.000, 0.000, 0.000], [0.000, 0.500, 0.000], [0.500, 0.500, 0.500], [0.000, 0.000, 0.500], [0.500, 0.000, 0.000]], "n_ef_per_ev_cell": 4.825, "space_group": "Pm-3m (221)", "rho_g_cm3": 2.5}

---

Most stable to least stable: entry P, entry Q

---

Entry P
{"formula": "Ca4Sn2F", "functional": "PBE", "state": "relaxed", "lattice_angstrom": [[7.838, 0.000, 0.436], [0.000, 6.928, 0.000], [-2.371, 0.000, 7.385]], "species": ["Ca", "Sn", "Ca", "Ca", "Sn", "Ca", "Ca", "Ca", "F", "F", "Sn", "Ca", "Ca", "Sn"], "frac_coords": [[0.522, 0.003, 0.756], [0.242, 0.250, 0.916], [0.522, 0.497, 0.756], [0.894, 0.250, 0.600], [0.241, 0.250, 0.452], [0.478, 0.997, 0.244], [0.911, 0.250, 0.096], [0.106, 0.750, 0.400], [0.276, 0.750, 0.191], [0.724, 0.250, 0.809], [0.758, 0.750, 0.084], [0.089, 0.750, 0.904], [0.478, 0.503, 0.244], [0.759, 0.750, 0.548]], "n_ef_per_ev_cell": 3.043, "space_group": "P2_1/m (11)", "rho_g_cm3": 3.4}

---

Entry Q
{"formula": "Ca4Sn2F", "functional": "PBE", "state": "relaxed", "lattice_angstrom": [[4.707, 0.000, 0.000], [0.000, 4.707, 0.000], [-2.353, -2.353, 8.848]], "species": ["Sn", "Ca", "Sn", "Ca", "Ca", "F", "Ca"], "frac_coords": [[0.633, 0.633, 0.267], [0.182, 0.182, 0.365], [0.367, 0.367, 0.733], [0.818, 0.818, 0.635], [0.500, 0.000, 0.000], [0.000, 0.000, 0.000], [0.000, 0.500, 0.000]], "n_ef_per_ev_cell": 4.587, "space_group": "I4/mmm (139)", "rho_g_cm3": 3.5}

---

Most stable to least stable: entry Q, entry P